! GGA-PBE NaMnRuBr2, relaxed; values from VASP
! Density, kg/m3: 3916
! Formation energy from raw total energies, eV per formula unit: 3.2
! SG: P4/mmm, No. 123
&SYSTEM
  ibrav = 0, nat = 5, ntyp = 4
/
ATOMIC_SPECIES
Na 22.99 Na.upf
Mn 54.94 Mn.upf
Br 79.90 Br.upf
Ru 101.07 Ru.upf
ATOMIC_POSITIONS angstrom
Na 0.000 2.857 0.000
Mn 2.507 2.857 2.507
Br 0.000 0.000 2.507
Br 2.507 0.000 0.000
Ru 0.000 0.000 0.000
CELL_PARAMETERS angstrom
5.014 0.000 0.000
0.000 5.715 0.000
0.000 0.000 5.014